Record 1
NbAgHgBi2 | GGA-PBE | relaxed

## Properties
As for the total energy: -3.607 eV/atom. The magnetization comes out at 0.19 μB/f.u. The calculated formation energy is 0.59 eV per atom.

Lattice parameters (Å, degrees): 5.4637 5.4637 5.4612 90.00 90.00 90.00
Last column: nearest neighbours and their distance in Å.
Sites, in units of the cell vectors:
Nb  0.0000  0.0000  0.0000  2 Ag 2.73, 4 Bi 2.73
Ag  0.0000  0.0000  0.5000  2 Nb 2.73
Hg  0.5000  0.5000  0.5000  8 Bi 3.86, 4 Ag 3.86
Bi  0.0000  0.5000  0.0000  2 Nb 2.73
Bi  0.5000  0.0000  0.0000  2 Nb 2.73

***

Record 2
NbAg2HgBi | GGA-PBE | relaxed

## Properties
As for the total energy: -2.964 eV/atom. The magnetization comes out at 3.34 μB/f.u. The calculated formation energy is 1.03 eV per atom.

Lattice parameters (Å, degrees): 5.3583 5.3583 5.6234 90.00 90.00 90.00
Last column: nearest neighbours and their distance in Å.
Sites, in units of the cell vectors:
Nb  0.0000  0.0000  0.0000  2 Bi 2.81
Ag  0.0000  0.5000  0.5000  2 Bi 2.68
Ag  0.5000  0.0000  0.5000  2 Bi 2.68
Hg  0.5000  0.5000  0.0000  4 Nb 3.79, 8 Ag 3.88
Bi  0.0000  0.0000  0.5000  4 Ag 2.68, 2 Nb 2.81

***

Record 3
NdAgHgBi | GGA-PBE | relaxed

## Properties
As for the total energy: -3.245 eV/atom. The magnetization comes out at 0.00 μB/f.u. The calculated formation energy is -0.29 eV per atom.

Lattice parameters (Å, degrees): 5.3125 5.3125 5.3125 60.00 60.00 60.00
Last column: nearest neighbours and their distance in Å.
Sites, in units of the cell vectors:
Nd  0.0000  0.0000  0.0000  4 Hg 3.25, 4 Bi 3.25
Ag  0.5000  0.5000  0.5000  4 Hg 3.25, 4 Bi 3.25
Hg  0.2500  0.2500  0.2500  4 Ag 3.25, 4 Nd 3.25
Bi  0.7500  0.7500  0.7500  4 Nd 3.25, 4 Ag 3.25

***

Record 4
NpAgHgBi | GGA-PBE | relaxed

## Properties
As for the total energy: -4.858 eV/atom. The magnetization comes out at 4.68 μB/f.u. The calculated formation energy is 0.14 eV per atom.

Lattice parameters (Å, degrees): 5.2336 5.2336 5.2336 60.00 60.00 60.00
Last column: nearest neighbours and their distance in Å.
Sites, in units of the cell vectors:
Np  0.0000  0.0000  0.0000  4 Bi 3.20, 4 Hg 3.20
Ag  0.5000  0.5000  0.5000  4 Bi 3.20, 4 Hg 3.20
Hg  0.2500  0.2500  0.2500  4 Np 3.20, 4 Ag 3.20
Bi  0.7500  0.7500  0.7500  4 Np 3.20, 4 Ag 3.20

***

- Among the records above, which one has the highest magnetization?
  NpAgHgBi